1.
VASP calculation (GGA-PBE) on crystalline LiTiCo2Sn at its relaxed geometry.

Calculated volume, Å³/f.u.: 111.9
Energy, eV/cell: -21.78

Structure (CIF):
```
data_LiTiCo2Sn
_chemical_formula_sum 'Li1 Ti1 Co2 Sn1'
_cell_length_a 4.698
_cell_length_b 4.698
_cell_length_c 5.068
_cell_angle_alpha 90.00
_cell_angle_beta 90.00
_cell_angle_gamma 90.00
_space_group_name_H-M_alt 'P 4/m m m'
_space_group_IT_number 123
_space_group_name_Hall '-P 4 2'
loop_
_atom_site_label
_atom_site_type_symbol
_atom_site_fract_x
_atom_site_fract_y
_atom_site_fract_z
Li1 Li 0.000 0.000 0.000
Ti1 Ti 0.500 0.500 0.000
Co1 Co 0.000 0.500 0.500
Sn1 Sn 0.500 0.500 0.500
```

2.
VASP calculation (GGA-PBE) on crystalline LiTlCo2Sn at its relaxed geometry.

Calculated volume, Å³/f.u.: 88.4
Energy, eV/cell: -18.18

Structure (CIF):
```
data_LiTlCo2Sn
_chemical_formula_sum 'Li1 Tl1 Co2 Sn1'
_cell_length_a 4.409
_cell_length_b 4.409
_cell_length_c 4.551
_cell_angle_alpha 90.00
_cell_angle_beta 90.00
_cell_angle_gamma 90.00
_space_group_name_H-M_alt 'P 4/m m m'
_space_group_IT_number 123
_space_group_name_Hall '-P 4 2'
loop_
_atom_site_label
_atom_site_type_symbol
_atom_site_fract_x
_atom_site_fract_y
_atom_site_fract_z
Li1 Li 0.000 0.000 0.000
Tl1 Tl 0.000 0.000 0.500
Co1 Co 0.000 0.500 0.000
Sn1 Sn 0.500 0.500 0.500
```

3.
VASP calculation (GGA-PBE) on crystalline LiCo2SnW at its relaxed geometry.

Calculated volume, Å³/f.u.: 113.3
Energy, eV/cell: -24.34

Structure (CIF):
```
data_LiCo2SnW
_chemical_formula_sum 'Li1 Co2 Sn1 W1'
_cell_length_a 4.712
_cell_length_b 4.712
_cell_length_c 5.103
_cell_angle_alpha 90.00
_cell_angle_beta 90.00
_cell_angle_gamma 90.00
_space_group_name_H-M_alt 'P 4/m m m'
_space_group_IT_number 123
_space_group_name_Hall '-P 4 2'
loop_
_atom_site_label
_atom_site_type_symbol
_atom_site_fract_x
_atom_site_fract_y
_atom_site_fract_z
Li1 Li 0.000 0.000 0.000
Co1 Co 0.000 0.500 0.500
Sn1 Sn 0.500 0.500 0.500
W1 W 0.500 0.500 0.000
```

4.
VASP calculation (GGA-PBE) on crystalline Li2CoSnW at its relaxed geometry.

Calculated volume, Å³/f.u.: 83.6
Energy, eV/cell: -24.74

Structure (CIF):
```
data_Li2CoSnW
_chemical_formula_sum 'Li2 Co1 Sn1 W1'
_cell_length_a 4.291
_cell_length_b 4.291
_cell_length_c 4.541
_cell_angle_alpha 90.00
_cell_angle_beta 90.00
_cell_angle_gamma 90.00
_space_group_name_H-M_alt 'P 4/m m m'
_space_group_IT_number 123
_space_group_name_Hall '-P 4 2'
loop_
_atom_site_label
_atom_site_type_symbol
_atom_site_fract_x
_atom_site_fract_y
_atom_site_fract_z
Li1 Li 0.000 0.500 0.000
Co1 Co 0.000 0.000 0.000
Sn1 Sn 0.500 0.500 0.500
W1 W 0.000 0.000 0.500
```

5.
VASP calculation (GGA-PBE) on crystalline LiZrCoSn at its relaxed geometry.

Calculated volume, Å³/f.u.: 62.7
Energy, eV/cell: -94.12

Structure (CIF):
```
data_LiZrCoSn
_chemical_formula_sum 'Li4 Zr4 Co4 Sn4'
_cell_length_a 6.306
_cell_length_b 6.306
_cell_length_c 6.306
_cell_angle_alpha 90.00
_cell_angle_beta 90.00
_cell_angle_gamma 90.00
_space_group_name_H-M_alt 'F -4 3 m'
_space_group_IT_number 216
_space_group_name_Hall 'F -4 2 3'
loop_
_atom_site_label
_atom_site_type_symbol
_atom_site_fract_x
_atom_site_fract_y
_atom_site_fract_z
Li1 Li 0.000 0.000 0.000
Zr1 Zr 0.250 0.250 0.250
Co1 Co 0.000 0.000 0.500
Sn1 Sn 0.250 0.250 0.750
```

6.
VASP calculation (GGA-PBE) on crystalline Sr2LiCo at its relaxed geometry.

Energy relative to the lowest polymorph listed for this composition, eV per formula unit: 0.130
Calculated volume, Å³/f.u.: 119.9

Structure (CIF):
```
data_Sr2LiCo
_chemical_formula_sum 'Sr2 Li1 Co1'
_cell_length_a 3.763
_cell_length_b 3.763
_cell_length_c 8.465
_cell_angle_alpha 90.00
_cell_angle_beta 90.00
_cell_angle_gamma 90.00
_space_group_name_H-M_alt 'P 4/m m m'
_space_group_IT_number 123
_space_group_name_Hall '-P 4 2'
loop_
_atom_site_label
_atom_site_type_symbol
_atom_site_fract_x
_atom_site_fract_y
_atom_site_fract_z
Sr1 Sr 0.000 0.000 0.206
Li1 Li 0.500 0.500 0.500
Co1 Co 0.500 0.500 0.000
```

7.
VASP calculation (GGA-PBE) on crystalline Sr2LiCo2 at its relaxed geometry.

Calculated volume, Å³/f.u.: 129.9
Energy, eV/cell: -35.43

Structure (CIF):
```
data_Sr2LiCo2
_chemical_formula_sum 'Sr4 Li2 Co4'
_cell_length_a 7.707
_cell_length_b 7.707
_cell_length_c 4.374
_cell_angle_alpha 90.00
_cell_angle_beta 90.00
_cell_angle_gamma 90.00
_space_group_name_H-M_alt 'P 4/m b m'
_space_group_IT_number 127
_space_group_name_Hall '-P 4 2ab'
loop_
_atom_site_label
_atom_site_type_symbol
_atom_site_fract_x
_atom_site_fract_y
_atom_site_fract_z
Sr1 Sr 0.179 0.321 0.000
Li1 Li 0.000 0.000 0.500
Co1 Co 0.099 0.599 0.500
```

8.
VASP calculation (GGA-PBE) on crystalline Sr2LiCo at its relaxed geometry.

Energy relative to the lowest polymorph listed for this composition, eV per formula unit: 0.437
Calculated volume, Å³/f.u.: 116.8

Structure (CIF):
```
data_Sr2LiCo
_chemical_formula_sum 'Sr2 Li1 Co1'
_cell_length_a 3.698
_cell_length_b 3.698
_cell_length_c 8.539
_cell_angle_alpha 90.00
_cell_angle_beta 90.00
_cell_angle_gamma 90.00
_space_group_name_H-M_alt 'P 4 m m'
_space_group_IT_number 99
_space_group_name_Hall 'P 4 -2'
loop_
_atom_site_label
_atom_site_type_symbol
_atom_site_fract_x
_atom_site_fract_y
_atom_site_fract_z
Sr1 Sr 0.000 0.000 0.000
Sr2 Sr 0.500 0.500 0.409
Li1 Li 0.500 0.500 0.744
Co1 Co 0.000 0.000 0.640
```